Density functional theory data (PBE) for crystalline ZrAlH at its relaxed geometry.

The space group is Pnma (No. 62) and the conventional cell measures 5.221, 3.104 and 10.860 Å, with angles of 90.00, 90.00 and 90.00 degrees. The distinct sites, in fractional coordinates, are Zr at (0.167, 0.250, 0.176), Al at (0.186, 0.250, 0.454) and H at (0.083, 0.250, 0.751).

For the spin magnetization, the calculation gives 0.0 Bohr magnetons per cell. The calculation puts the electronic total energy at -5.42 eV/atom. Its theoretical density is 4.499 Mg/m³.